1.
Ni2GeAsIr after structural relaxation, computed with PBE-GGA.

spin magnetization: 0.0 μB per cell
energy of formation: 582 meV per atom
final energy: -5.356 eV/atom

a b c (Å): 4.3404 4.3404 4.6484
angles (deg): 90.00 90.00 90.00
Last column: nearest neighbours and their distance in Å.
Space group P4/mmm (No. 123)
Unique sites:
Ni1 0.0000 0.5000 0.0000 x2  2 As 2.17
Ge1 0.0000 0.0000 0.5000 x1  4 Ir 3.07, 8 Ni 3.18
As1 0.5000 0.5000 0.0000 x1  4 Ni 2.17, 2 Ir 2.32
Ir1 0.5000 0.5000 0.5000 x1  2 As 2.32

=====

2.
CsNaHg2I6 after structural relaxation, computed with PBE-GGA.

spin magnetization: 0.0 μB per cell
final energy: -1.934 eV/atom

a b c (Å): 8.2468 8.2489 10.2733
angles (deg): 113.62 90.03 119.99
Last column: nearest neighbours and their distance in Å.
Space group P1 (No. 1)
Unique sites:
Cs1 0.0000 0.0000 0.0000 x1  6 I 3.90-3.91
Na1 0.5010 0.0002 0.5001 x1  6 I 3.23-3.25
Hg1 0.2390 0.4780 0.7153 x1  3 I 2.76
Hg2 0.7642 0.5300 0.2941 x1  3 I 2.76
I1 0.1093 0.8419 0.2843 x1  1 Hg 2.76
I2 0.2851 0.8402 0.7285 x1  1 Hg 2.76
I3 0.4419 0.5527 0.2827 x1  1 Hg 2.76
I4 0.5544 0.4440 0.7280 x1  1 Hg 2.76
I5 0.7292 0.1731 0.2820 x1  1 Hg 2.76
I6 0.8898 0.1770 0.7299 x1  1 Hg 2.76

=====

3.
Pm3InAs after structural relaxation, computed with PBE-GGA.

relative energy among the computed polymorphs: 192 meV/atom
spin magnetization: 0.0 μB per cell
energy of formation: -547 meV per atom
final energy: -4.875 eV/atom

a b c (Å): 5.5362 5.5362 5.5362
angles (deg): 90.00 90.00 90.00
Last column: nearest neighbours and their distance in Å.
Space group Pm-3m (No. 221)
Unique sites:
Pm1 0.0000 0.0000 0.5000 x3  2 As 2.77
In1 0.5000 0.5000 0.5000 x1  12 Pm 3.91
As1 0.0000 0.0000 0.0000 x1  6 Pm 2.77

=====

4.
Sc3Ge3Pd after structural relaxation, computed with PBE-GGA.

relative energy among the computed polymorphs: 0 meV/atom
spin magnetization: 0.0 μB per cell
energy of formation: -864 meV per atom
final energy: -6.298 eV/atom

a b c (Å): 10.2435 4.1145 13.1653
angles (deg): 90.00 109.37 90.00
Last column: nearest neighbours and their distance in Å.
Space group C2/m (No. 12)
Unique sites:
Sc1 0.0236 0.0000 0.3767 x4  6 Ge 2.81-3.02, 3 Pd 2.93-3.07
Sc2 0.1001 0.0000 0.9223 x4  7 Ge 2.79-3.11
Sc3 0.2332 0.0000 0.2243 x4  6 Ge 2.80-3.03, 2 Pd 3.09
Ge1 0.0191 0.5000 0.2305 x4  1 Pd 2.57, 1 Ge 2.63, 4 Sc 2.81-2.85
Ge2 0.1244 0.5000 0.5538 x4  3 Pd 2.47-2.63, 1 Ge 2.47
Ge3 0.1266 0.5000 0.0747 x4  2 Ge 2.63-2.69, 5 Sc 2.79-2.82
Pd1 0.2354 0.5000 0.3999 x4  4 Ge 2.47-2.63

=====

5.
K2NaTlCd after structural relaxation, computed with PBE-GGA.

relative energy among the computed polymorphs: 0 meV/atom
spin magnetization: 0.0 μB per cell
energy of formation: 94 meV per atom
final energy: -1.265 eV/atom

a b c (Å): 6.6964 6.6964 5.7454
angles (deg): 90.00 90.00 90.00
Last column: nearest neighbours and their distance in Å.
Space group P4/mmm (No. 123)
Unique sites:
K1 0.0000 0.5000 0.0000 x2  2 Cd 3.35
Na1 0.0000 0.0000 0.5000 x1  8 K 4.41, 4 Tl 4.74
Tl1 0.5000 0.5000 0.5000 x1  2 Cd 2.87
Cd1 0.5000 0.5000 0.0000 x1  2 Tl 2.87

=====

6.
Ce4FeSbPb after structural relaxation, computed with PBE-GGA.

spin magnetization: 9.6 μB per cell
final energy: -6.218 eV/atom

a b c (Å): 6.7968 17.3761 6.7988
angles (deg): 90.00 90.00 90.00
Last column: nearest neighbours and their distance in Å.
Space group Cmcm (No. 63)
Unique sites:
Ce1 0.0000 0.0780 0.2500 x4  1 Fe 2.98, 1 Sb 3.28
Ce2 0.0000 0.4209 0.2500 x4  1 Fe 2.97, 1 Pb 3.26
Ce3 0.2500 0.2500 0.0000 x8  2 Fe 2.40
Fe1 0.0000 0.2497 0.2500 x4  4 Ce 2.40
Sb1 0.0000 0.1109 0.7500 x4  9 Ce 3.28-3.45
Pb1 0.0000 0.3915 0.7500 x4  9 Ce 3.26-3.44

=====

7.
Tb2Pr2S3 after structural relaxation, computed with PBE-GGA.

spin magnetization: 0.0 μB per cell
final energy: -6.177 eV/atom

a b c (Å): 3.9354 6.8525 6.9733
angles (deg): 98.81 90.00 106.64
Last column: nearest neighbours and their distance in Å.
Space group P-1 (No. 2)
Unique sites:
Tb1 0.1282 0.2559 0.3871 x2  5 S 2.71-2.78
Pr1 0.3743 0.7507 0.1186 x2  4 S 2.86-2.89
S1 0.2516 0.5030 0.7379 x2  3 Tb 2.71-2.75, 3 Pr 2.86-2.88
S2 0.5000 0.0000 0.5000 x1  4 Tb 2.78, 2 Pr 2.89

=====

8.
AcNd2F11 after structural relaxation, computed with PBE-GGA.

spin magnetization: 8.7 μB per cell
final energy: -5.864 eV/atom

a b c (Å): 8.8293 10.6397 12.3638
angles (deg): 90.00 90.00 90.00
Last column: nearest neighbours and their distance in Å.
Space group Ibam (No. 72)
Unique sites:
Ac1 0.0000 0.0000 0.2500 x4  8 F 2.51-2.52
Nd1 0.1586 0.3104 0.0000 x8  7 F 2.29-2.46
F1 0.0000 0.5000 0.0000 x4  2 F 2.25, 2 Nd 2.46
F2 0.1081 0.3082 0.5000 x8  1 F 2.25, 2 Nd 2.35-2.42
F3 0.1095 0.1758 0.1401 x16  1 Nd 2.29, 1 Ac 2.51
F4 0.2063 0.0777 0.3736 x16  1 Nd 2.30, 1 Ac 2.52

=====

9.
CaSn5Au3 after structural relaxation, computed with PBE-GGA.

spin magnetization: 0.0 μB per cell
energy of formation: -183 meV per atom
final energy: -3.722 eV/atom

a b c (Å): 11.3892 8.3349 10.7082
angles (deg): 90.00 104.83 90.00
Last column: nearest neighbours and their distance in Å.
Space group C2/m (No. 12)
Unique sites:
Ca1 0.1368 0.0000 0.2886 x4  2 Au 3.06-3.08, 3 Sn 3.34-3.35
Sn1 0.0000 0.3183 0.0000 x4  1 Au 2.65
Sn2 0.1251 0.5000 0.4515 x4  2 Au 2.77-2.93
Sn3 0.1439 0.2239 0.6522 x8  3 Au 2.73-2.90
Sn4 0.2375 0.0000 0.9999 x4  3 Au 2.70-2.72
Au1 0.0000 0.0000 0.0000 x2  4 Sn 2.65-2.71
Au2 0.0000 0.0000 0.5000 x2  4 Sn 2.73, 2 Ca 3.06
Au3 0.0791 0.5000 0.7798 x4  4 Sn 2.72-2.93, 1 Au 2.90
Au4 0.1736 0.5000 0.2113 x4  6 Sn 2.70-3.01, 1 Au 2.90

=====

10.
La2TbTl after structural relaxation, computed with PBE-GGA.

relative energy among the computed polymorphs: 62 meV/atom
spin magnetization: 0.0 μB per cell
energy of formation: -152 meV per atom
final energy: -4.365 eV/atom

a b c (Å): 3.7495 3.7495 9.5202
angles (deg): 90.00 90.00 90.00
Last column: nearest neighbours and their distance in Å.
Space group P4/mmm (No. 123)
Unique sites:
La1 0.0000 0.0000 0.2312 x2  4 Tl 3.45, 4 Tb 3.68, 4 La 3.75
Tb1 0.5000 0.5000 0.5000 x1  8 La 3.68, 4 Tb 3.75
Tl1 0.5000 0.5000 0.0000 x1  8 La 3.45, 4 Tl 3.75

=====

11.
AcGe3 after structural relaxation, computed with PBE-GGA.

relative energy among the computed polymorphs: 0 meV/atom
spin magnetization: 0.0 μB per cell
energy of formation: -447 meV per atom
final energy: -4.937 eV/atom

a b c (Å): 6.6608 6.6608 4.9354
angles (deg): 90.00 90.00 120.00
Last column: nearest neighbours and their distance in Å.
Space group P6_3/mmc (No. 194)
Unique sites:
Ac1 0.3333 0.6667 0.2500 x2  12 Ge 3.35
Ge1 0.1367 0.2733 0.7500 x6  6 Ge 2.73-2.93